Record 1
Ca4PCl PBE-GGA optimized geometry; crystal system = cubic; formation energy (no corrections) = 0.0677 eV per atom; magnetic moment = 0.000 μB/atom
1.0
0.000 4.639 4.639
4.639 0.000 4.639
4.639 4.639 0.000
P Cl Ca
1 1 4
Direct
0.000 0.000 0.000
0.750 0.750 0.750
0.880 0.373 0.373
0.373 0.373 0.880
0.373 0.880 0.373
0.373 0.373 0.373


Record 2
Pu2ThTe3 PBE-GGA optimized geometry; crystal system = orthorhombic; formation energy (no corrections) = -1.0656 eV per atom; magnetic moment = 1.971 μB/atom
1.0
4.219 0.000 -1.195
-0.657 5.796 -2.320
-0.084 -0.309 7.746
Th Te Pu
1 3 2
Direct
0.000 0.500 0.000
0.671 0.671 0.342
0.329 0.329 0.658
0.000 0.000 0.000
0.335 0.835 0.670
0.665 0.165 0.330


Record 3
La8MgGa2 PBE-GGA optimized geometry; E_form = -188 meV per atom; crystal system = orthorhombic; magnetic moment = 0.000 μB/atom
1.0
4.874 0.001 -1.479
-1.111 8.222 -3.658
0.103 -0.940 9.099
La Ga Mg
8 2 1
Direct
0.000 0.666 0.000
0.846 0.846 0.693
0.154 0.154 0.307
0.341 0.125 0.683
0.659 0.442 0.317
0.000 0.334 0.000
0.341 0.558 0.683
0.659 0.875 0.317
0.802 0.302 0.603
0.198 0.698 0.397
0.500 0.000 0.000


Record 4
AgMoAs2 PBE-GGA optimized geometry; E_form = 326 meV per atom; crystal system = tetragonal; magnetic moment = 0.000 μB/atom
1.0
-0.829 -0.677 2.803
-2.723 -0.775 -0.993
2.587 -7.688 -1.093
As Mo Ag
2 1 1
Direct
0.500 0.500 0.302
0.000 0.000 0.978
0.000 0.000 0.484
0.500 0.500 0.737